No. 1
Entry from the Alexandria database: crystalline KBeRu2 at its relaxed geometry (PBE).

The structure in POSCAR format:
```
KBeRu2
1.0
4.152 -1.412 0.000
4.152 1.412 0.000
-0.659 0.000 6.842
K Be Ru
1 1 2
Direct
0.000 0.000 0.000
0.771 0.771 0.367
0.230 0.230 0.620
0.490 0.490 0.488
```

Fermi-level density of states = 3.140 states/eV per cell
Volume = 20.06 Å³/atom
Formation enthalpy at 0 K = 52.4 kJ/mol of atoms
Magnetization = 0.0000 μB per atom

---

No. 2
Entry from the Alexandria database: crystalline KBeRu2 at its relaxed geometry (PBE).

The structure in POSCAR format:
```
KBeRu2
1.0
2.784 0.000 0.000
0.000 4.085 0.000
-1.381 0.000 6.916
K Be Ru
1 1 2
Direct
0.000 0.000 0.000
0.326 0.500 0.653
0.259 0.000 0.510
0.697 0.500 0.389
```

Fermi-level density of states = 2.834 states/eV per cell
Volume = 19.66 Å³/atom
Formation enthalpy at 0 K = 52.7 kJ/mol of atoms
Magnetization = 0.0000 μB per atom

---

No. 3
Entry from the Alexandria database: crystalline K2BeRu at its relaxed geometry (PBE).

The structure in POSCAR format:
```
K2BeRu
1.0
-1.765 2.853 5.384
1.765 -2.853 5.384
1.765 2.853 -5.384
K Be Ru
2 1 1
Direct
0.000 0.000 0.000
0.700 0.200 0.500
0.410 0.410 0.000
0.301 0.801 0.500
```

Fermi-level density of states = 4.356 states/eV per cell
Volume = 27.10 Å³/atom
Formation enthalpy at 0 K = 76.6 kJ/mol of atoms
Magnetization = 0.1152 μB per atom

---

No. 4
Entry from the Alexandria database: crystalline K2BeRu at its relaxed geometry (PBE).

The structure in POSCAR format:
```
K2BeRu
1.0
0.000 3.514 3.514
3.514 0.000 3.514
3.514 3.514 0.000
K Be Ru
2 1 1
Direct
0.000 0.000 0.000
0.250 0.250 0.250
0.500 0.500 0.500
0.750 0.750 0.750
```

Fermi-level density of states = 7.909 states/eV per cell
Volume = 21.70 Å³/atom
Formation enthalpy at 0 K = 124.3 kJ/mol of atoms
Magnetization = 0.0291 μB per atom

---

No. 5
Entry from the Alexandria database: crystalline KBeRu2 at its relaxed geometry (PBE).

The structure in POSCAR format:
```
KBeRu2
1.0
2.768 -4.812 0.000
2.768 4.812 0.000
-1.125 0.000 2.403
K Be Ru
1 1 2
Direct
0.000 0.000 0.000
0.500 0.500 0.000
0.000 0.500 0.500
0.500 0.000 0.500
```

Fermi-level density of states = 5.171 states/eV per cell
Volume = 16.00 Å³/atom
Formation enthalpy at 0 K = 118.5 kJ/mol of atoms
Magnetization = 0.0580 μB per atom

---

No. 6
Entry from the Alexandria database: crystalline K2BeRu at its relaxed geometry (PBE).

The structure in POSCAR format:
```
K2BeRu
1.0
1.464 0.845 11.501
-1.464 0.845 11.501
0.000 -1.690 11.501
K Be Ru
2 1 1
Direct
0.247 0.247 0.247
0.753 0.753 0.753
0.000 0.000 0.000
0.500 0.500 0.500
```

Fermi-level density of states = 2.481 states/eV per cell
Volume = 21.34 Å³/atom
Formation enthalpy at 0 K = 129.0 kJ/mol of atoms
Magnetization = 0.0514 μB per atom

---

No. 7
Entry from the Alexandria database: crystalline KBeRu2 at its relaxed geometry (PBE).

The structure in POSCAR format:
```
KBeRu2
1.0
2.929 0.000 0.000
0.000 2.929 0.000
0.000 0.000 8.098
K Be Ru
1 1 2
Direct
0.000 0.000 0.000
0.500 0.500 0.659
0.000 0.000 0.537
0.500 0.500 0.335
```

Fermi-level density of states = 3.094 states/eV per cell
Volume = 17.36 Å³/atom
Formation enthalpy at 0 K = 46.5 kJ/mol of atoms
Magnetization = 0.0000 μB per atom

---

No. 8
Entry from the Alexandria database: crystalline K2BeS at its relaxed geometry (PBE).

The structure in POSCAR format:
```
K2BeS
1.0
-3.060 3.060 9.288
3.060 -3.060 9.288
3.060 3.060 -9.288
K Be S
4 2 2
Direct
0.065 0.625 0.940
0.375 0.315 0.440
0.685 0.125 0.060
0.875 0.935 0.560
0.250 0.750 0.500
0.500 0.500 0.000
0.000 0.000 0.000
0.750 0.250 0.500
```

Excess energy over the best structure of this formula in the dataset = 102 kJ/mol of formula units
Fermi-level density of states = 0.000 states/eV per cell
Volume = 43.49 Å³/atom
Magnetization = 0.0000 μB per atom
E_form (uncorrected) = 0.328 eV/atom

---

No. 9
Entry from the Alexandria database: crystalline KBeS at its relaxed geometry (PBE).

The structure in POSCAR format:
```
KBeS
1.0
-2.308 2.348 7.098
2.308 -2.348 7.098
2.308 2.348 -7.098
K Be S
2 2 2
Direct
0.153 0.153 0.000
0.847 0.847 0.000
0.500 0.240 0.740
0.500 0.760 0.260
0.382 0.382 0.000
0.618 0.618 0.000
```

Excess energy over the best structure of this formula in the dataset = 0 kJ/mol of formula units
Fermi-level density of states = 0.173 states/eV per cell
Volume = 25.64 Å³/atom
Magnetization = 0.0000 μB per atom
E_form (uncorrected) = -0.737 eV/atom

---

No. 10
Entry from the Alexandria database: crystalline KBeS at its relaxed geometry (PBE).

The structure in POSCAR format:
```
KBeS
1.0
5.767 0.000 0.000
-0.478 5.964 0.000
-0.239 -2.950 5.449
K Be S
2 2 2
Direct
0.000 0.000 0.000
0.499 0.208 0.607
0.109 0.599 0.284
0.761 0.587 0.276
0.421 0.469 0.221
0.966 0.932 0.470
```

Excess energy over the best structure of this formula in the dataset = 42 kJ/mol of formula units
Volume = 31.24 Å³/atom
Magnetization = 0.0000 μB per atom
E_form (uncorrected) = -0.593 eV/atom

---

No. 11
Entry from the Alexandria database: crystalline KBeS at its relaxed geometry (PBE).

The structure in POSCAR format:
```
KBeS
1.0
4.171 0.000 0.000
0.000 1.747 5.339
0.000 -1.747 5.339
K Be S
1 1 1
Direct
0.000 0.000 0.000
0.500 0.275 0.275
0.500 0.685 0.685
```

Excess energy over the best structure of this formula in the dataset = 103 kJ/mol of formula units
Fermi-level density of states = 0.720 states/eV per cell
Volume = 25.94 Å³/atom
Magnetization = 0.2671 μB per atom
E_form (uncorrected) = -0.379 eV/atom

---

No. 12
Entry from the Alexandria database: crystalline KBeS at its relaxed geometry (PBE).

The structure in POSCAR format:
```
KBeS
1.0
1.795 1.036 5.859
-1.795 1.036 5.859
0.000 -2.072 5.859
K Be S
1 1 1
Direct
0.000 0.000 0.000
0.508 0.508 0.508
0.811 0.811 0.811
```

Excess energy over the best structure of this formula in the dataset = 86 kJ/mol of formula units
Fermi-level density of states = 0.625 states/eV per cell
Volume = 21.79 Å³/atom
Magnetization = 0.3006 μB per atom
E_form (uncorrected) = -0.441 eV/atom

---

no.,calculated density (g cm⁻³)
1,5.2
2,5.3
3,2.9
4,3.6
5,6.5
6,3.7
7,6.0
8,1.1
9,1.7
10,1.4
11,1.7
12,2.0